No. 1
The following is a PBE calculation of a relaxed structure of Y2Ho3ErBi2Os, from OQMD.

Calculated values
The final energy comes out at -6.156 eV per atom.

a b c (Å): 4.2303 8.2709 8.2709
angles (deg): 119.86 90.00 90.00
Sites, in units of the cell vectors:
Os1 0.0000 0.9964 0.9964
Ho1 0.0000 0.3874 0.3874
Ho2 0.0000 0.9992 0.6139
Y1 0.5000 0.2357 0.0000
Ho3 0.0000 0.6139 0.9992
Y2 0.5000 0.0000 0.2357
Er1 0.5000 0.7665 0.7665
Bi1 0.5000 0.3343 0.6667
Bi2 0.5000 0.6667 0.3343


No. 2
The following is a PBE calculation of a relaxed structure of GdTm2Mg3ZnIn2, from OQMD.

Calculated values
The final energy comes out at -3.123 eV per atom.

a b c (Å): 4.5489 7.4723 7.4723
angles (deg): 120.72 90.00 90.00
Sites, in units of the cell vectors:
Gd1 0.0000 0.4171 0.4171
Zn1 0.0000 0.9949 0.9949
In1 0.5000 0.6699 0.3329
Tm1 0.0000 0.0015 0.5856
Mg1 0.5000 0.9999 0.2353
Mg2 0.5000 0.2353 0.9999
In2 0.5000 0.3329 0.6699
Mg3 0.5000 0.7631 0.7631
Tm2 0.0000 0.5856 0.0015


No. 3
The following is a PBE calculation of a relaxed structure of NpBiB, from OQMD.

Calculated values
The value obtained for the energy above the lowest structure with this stoichiometry is 628 meV/atom. The final energy comes out at -6.580 eV per atom.

a b c (Å): 4.6592 4.6592 4.6592
angles (deg): 60.00 60.00 60.00
Each line ends with the local moment (μB).
Sites, in units of the cell vectors:
B1 0.2500 0.2500 0.2500  0.05
Bi1 0.7500 0.7500 0.7500  -0.01
Np1 0.0000 0.0000 0.0000  3.57


Question: Which value of final energy does entry 1 give?
Answer: -6.156 eV per atom


Question: Look up the final energy of the first one.
Answer: -6.156 eV per atom


Question: Which formula does entry 2 have?
Answer: GdTm2Mg3ZnIn2


Repeat the third record exactly.
The following is a PBE calculation of a relaxed structure of NpBiB, from OQMD.

Calculated values
The value obtained for the energy above the lowest structure with this stoichiometry is 628 meV/atom. The final energy comes out at -6.580 eV per atom.

a b c (Å): 4.6592 4.6592 4.6592
angles (deg): 60.00 60.00 60.00
Each line ends with the local moment (μB).
Sites, in units of the cell vectors:
B1 0.2500 0.2500 0.2500  0.05
Bi1 0.7500 0.7500 0.7500  -0.01
Np1 0.0000 0.0000 0.0000  3.57